1.
## TeRhPb4 (PBE)

Data for crystalline TeRhPb4 at its relaxed geometry.

a = 6.322 Å, b = 6.322 Å, c = 6.322 Å
α = 60.00°, β = 60.00°, γ = 60.00°
Atoms (fractional coordinates):
1 Pb 0.873 0.376 0.376
2 Pb 0.376 0.376 0.873
3 Pb 0.376 0.376 0.376
4 Pb 0.376 0.873 0.376
5 Te 0.000 0.000 0.000
6 Rh 0.750 0.750 0.750

Summary:
Its space-group type is No. 216. The calculation puts the formation energy without anion corrections at 0.56 eV/atom.

=====

2.
## SmNp3Tl3S8 (PBE)

Data for crystalline SmNp3Tl3S8 at its relaxed geometry.

a = 8.108 Å, b = 8.108 Å, c = 8.833 Å
α = 117.34°, β = 90.00°, γ = 120.00°
Atoms (fractional coordinates):
1 S 0.236 0.472 0.695
2 S 0.764 0.528 0.305
3 S 0.236 0.959 0.695
4 S 0.276 0.041 0.305
5 S 0.764 0.041 0.305
6 S 0.724 0.959 0.695
7 S 0.731 0.461 0.692
8 S 0.269 0.539 0.308
9 Np 0.000 0.500 0.500
10 Np 0.500 0.000 0.500
11 Np 0.500 0.500 0.500
12 Tl 0.500 0.500 0.000
13 Tl 0.000 0.000 0.000
14 Tl 0.000 0.500 0.000
15 Sm 0.000 0.000 0.500

Summary:
Its space-group type is No. 166. The calculation puts the formation energy without anion corrections at -1.20 eV/atom.

=====

3.
## Pu3Zn7Cu2 (PBE)

Data for crystalline Pu3Zn7Cu2 at its relaxed geometry.

a = 5.363 Å, b = 5.363 Å, c = 9.137 Å
α = 72.93°, β = 72.93°, γ = 60.00°
Atoms (fractional coordinates):
1 Cu 0.666 0.666 0.003
2 Cu 0.334 0.334 0.997
3 Zn 0.580 0.580 0.762
4 Zn 0.500 0.500 0.500
5 Zn 0.922 0.420 0.238
6 Zn 0.420 0.922 0.238
7 Zn 0.420 0.420 0.238
8 Zn 0.078 0.580 0.762
9 Zn 0.580 0.078 0.762
10 Pu 0.000 0.000 0.000
11 Pu 0.852 0.852 0.444
12 Pu 0.148 0.148 0.556

Summary:
Its space-group type is No. 166. The energy of formation comes out at -135 meV per atom.

=====

4.
## Rb2TlGeF6 (PBE)

Data for crystalline Rb2TlGeF6 at its relaxed geometry.

a = 6.368 Å, b = 6.938 Å, c = 9.265 Å
α = 90.00°, β = 90.00°, γ = 90.00°
Atoms (fractional coordinates):
1 F 0.500 0.208 0.718
2 F 0.271 0.412 0.500
3 F 0.000 0.792 0.218
4 F 0.771 0.588 0.000
5 F 0.722 0.004 0.500
6 F 0.729 0.412 0.500
7 F 0.278 0.004 0.500
8 F 0.500 0.208 0.282
9 F 0.000 0.792 0.782
10 F 0.222 0.996 0.000
11 F 0.229 0.588 0.000
12 F 0.778 0.996 0.000
13 Rb 0.500 0.791 0.769
14 Rb 0.000 0.209 0.731
15 Rb 0.000 0.209 0.269
16 Rb 0.500 0.791 0.231
17 Ge 0.000 0.785 0.000
18 Ge 0.500 0.215 0.500
19 Tl 0.500 0.290 0.000
20 Tl 0.000 0.710 0.500

Summary:
Its space-group type is No. 59. The value obtained for the offset from the most stable computed form is 0 meV per atom. The calculation puts the formation energy without anion corrections at -2.35 eV/atom.